## K2Y2Pd (PBE)

Data for a relaxed structure of K2Y2Pd.

Geometry as POSCAR:
```
K2Y2Pd
1.0
-2.2065 2.2065 10.5343
2.2065 -2.2065 10.5343
2.2065 2.2065 -10.5343
K Y Pd
2 2 1
Direct
0.0811 0.0811 0.0000
0.9189 0.9189 0.0000
0.2500 0.7500 0.5000
0.7500 0.2500 0.5000
0.5000 0.5000 0.0000
```

Output
energy relative to the lowest polymorph listed for this composition: 4.9 kJ/mol of formula units
ΔE_f: 0.65 eV per atom



## LiNdYHg (PBE)

Data for a relaxed structure of LiNdYHg.

Geometry as POSCAR:
```
LiNdYHg
1.0
0.0000 3.7594 3.7594
3.7594 0.0000 3.7594
3.7594 3.7594 0.0000
Li Nd Y Hg
1 1 1 1
Direct
0.0000 0.0000 0.0000
0.2500 0.2500 0.2500
0.7500 0.7500 0.7500
0.5000 0.5000 0.5000
```

Output
ΔE_f: -0.22 eV per atom



## NbO2F (PBE)

Data for a relaxed structure of NbO2F.

Geometry as POSCAR:
```
NbO2F
1.0
-3.8646 8.5970 2.8840
3.8646 -8.5970 2.8840
3.8646 8.5970 -2.8840
Nb O F
6 12 6
Direct
0.0723 0.3223 0.7500
0.3109 0.2284 0.0824
0.3540 0.7716 0.5824
0.6460 0.2284 0.4176
0.6891 0.7716 0.9176
0.9277 0.6777 0.2500
0.0000 0.0000 0.0000
0.0000 0.0000 0.5000
0.0000 0.5000 0.0000
0.1961 0.5292 0.6669
0.3297 0.0000 0.8297
0.3297 0.5000 0.3297
0.3622 0.5292 0.8331
0.5000 0.0000 0.5000
0.6378 0.4708 0.1669
0.6703 0.0000 0.1703
0.6703 0.5000 0.6703
0.8039 0.4708 0.3331
0.0000 0.5000 0.5000
0.1470 0.9831 0.1639
0.3192 0.9831 0.3361
0.5000 0.5000 0.0000
0.6808 0.0169 0.6639
0.8530 0.0169 0.8361
```

Output
E_form (uncorrected): -2.69 eV/atom



## Na3Li (PBE)

Data for a relaxed structure of Na3Li.

Geometry as POSCAR:
```
Na3Li
1.0
-2.5490 2.5490 5.0000
2.5490 -2.5490 5.0000
2.5490 2.5490 -5.0000
Na Li
3 1
Direct
0.0000 0.0000 0.0000
0.2500 0.7500 0.5000
0.7500 0.2500 0.5000
0.5000 0.5000 0.0000
```

Output
energy relative to the lowest polymorph listed for this composition: 1.8 kJ/mol of formula units
ΔE_f: 0.05 eV per atom



## SmCoPN (PBE)

Data for a relaxed structure of SmCoPN.

Geometry as POSCAR:
```
SmCoPN
1.0
3.7027 0.0000 0.0000
0.0000 3.7027 0.0000
0.0000 0.0000 7.9607
Sm Co P N
2 2 2 2
Direct
0.2500 0.2500 0.1676
0.7500 0.7500 0.8324
0.2500 0.7500 0.5000
0.7500 0.2500 0.5000
0.2500 0.2500 0.6502
0.7500 0.7500 0.3498
0.2500 0.2500 0.8657
0.7500 0.7500 0.1343
```

Output
E_form (uncorrected): -1.18 eV/atom



## YHfIr3 (PBE)

Data for a relaxed structure of YHfIr3.

Geometry as POSCAR:
```
YHfIr3
1.0
4.8356 0.0000 0.0000
0.0000 4.8356 0.0000
0.0000 0.0000 4.8356
Y Hf Ir
1 1 3
Direct
0.0000 0.0000 0.0000
0.5000 0.5000 0.5000
0.0000 0.5000 0.5000
0.5000 0.0000 0.5000
0.5000 0.5000 0.0000
```

Output
energy relative to the lowest polymorph listed for this composition: 0.0 kJ/mol of formula units
ΔE_f: 0.43 eV per atom



## BaTa2In (PBE)

Data for a relaxed structure of BaTa2In.

Geometry as POSCAR:
```
BaTa2In
1.0
5.3710 -1.5481 0.0000
5.3710 1.5481 0.0000
-0.9564 0.0000 6.3463
Ba Ta In
1 2 1
Direct
0.0000 0.0000 0.0000
0.2310 0.2310 0.6641
0.7690 0.7690 0.3359
0.5000 0.5000 0.5000
```

Output
energy relative to the lowest polymorph listed for this composition: 107.2 kJ/mol of formula units
ΔE_f: 0.66 eV per atom



## Ce2NbTlO8 (PBE)

Data for a relaxed structure of Ce2NbTlO8.

Geometry as POSCAR:
```
Ce2NbTlO8
1.0
3.4664 -3.5793 0.0000
3.4664 3.5793 0.0000
0.0000 0.0000 7.1770
Ce Nb Tl O
2 1 1 8
Direct
0.0000 0.0000 0.2444
0.0000 0.0000 0.7556
0.5000 0.5000 0.0000
0.5000 0.5000 0.5000
0.1953 0.1953 0.5000
0.2058 0.2058 0.0000
0.3118 0.6882 0.2113
0.3118 0.6882 0.7887
0.6882 0.3118 0.2113
0.6882 0.3118 0.7887
0.7942 0.7942 0.0000
0.8047 0.8047 0.5000
```

Output
E_form (uncorrected): -2.51 eV/atom



## Pt2W (PBE)

Data for a relaxed structure of Pt2W.

Geometry as POSCAR:
```
Pt2W
1.0
4.4928 0.0000 0.0000
-2.2464 3.8909 0.0000
0.0000 0.0000 2.6938
Pt W
2 1
Direct
0.3333 0.6667 0.0000
0.6667 0.3333 0.0000
0.0000 0.0000 0.5000
```

Output
energy relative to the lowest polymorph listed for this composition: 55.6 kJ/mol of formula units
ΔE_f: -0.16 eV per atom



## K2MgFe (PBE)

Data for a relaxed structure of K2MgFe.

Geometry as POSCAR:
```
K2MgFe
1.0
-1.7396 3.1449 6.4846
1.7396 -3.1449 6.4846
1.7396 3.1449 -6.4846
K Mg Fe
2 1 1
Direct
0.0000 0.0000 0.0000
0.6973 0.1973 0.5000
0.3992 0.3992 0.0000
0.2426 0.7426 0.5000
```

Output
energy relative to the lowest polymorph listed for this composition: 48.4 kJ/mol of formula units
ΔE_f: 0.71 eV per atom



## Ba2ZrTcI (PBE)

Data for a relaxed structure of Ba2ZrTcI.

Geometry as POSCAR:
```
Ba2ZrTcI
1.0
6.4125 0.0000 0.0000
0.0000 6.4125 0.0000
0.0000 0.0000 5.4412
Ba Zr Tc I
2 1 1 1
Direct
0.0000 0.5000 0.0000
0.5000 0.0000 0.0000
0.0000 0.0000 0.0000
0.5000 0.5000 0.5000
0.0000 0.0000 0.5000
```

Output
E_form (uncorrected): 1.18 eV/atom



## BaSrLiAg (PBE)

Data for a relaxed structure of BaSrLiAg.

Geometry as POSCAR:
```
BaSrLiAg
1.0
4.8152 0.0000 0.0000
0.0000 2.3818 6.4689
0.0000 -2.3818 6.4689
Ba Sr Li Ag
1 1 1 1
Direct
0.0000 0.0000 0.0000
0.5000 0.7173 0.7173
0.0000 0.2969 0.2969
0.5000 0.4113 0.4113
```

Output
energy relative to the lowest polymorph listed for this composition: 0.0 kJ/mol of formula units
ΔE_f: -0.15 eV per atom



## TmCuAg2 (PBE)

Data for a relaxed structure of TmCuAg2.

Geometry as POSCAR:
```
TmCuAg2
1.0
3.4339 0.0000 0.0000
0.0000 3.4339 0.0000
0.0000 0.0000 6.4494
Tm Cu Ag
1 1 2
Direct
0.0000 0.0000 0.0000
0.0000 0.0000 0.5000
0.5000 0.5000 0.2846
0.5000 0.5000 0.7154
```

Output
energy relative to the lowest polymorph listed for this composition: 4.1 kJ/mol of formula units
ΔE_f: -0.10 eV per atom



## LaTb3Sc (PBE)

Data for a relaxed structure of LaTb3Sc.

Geometry as POSCAR:
```
LaTb3Sc
1.0
3.5455 0.0000 0.0000
0.0000 8.2328 0.0000
0.0000 0.0000 11.2735
La Tb Sc
2 6 2
Direct
0.2500 0.2500 0.0676
0.7500 0.7500 0.9324
0.2500 0.5583 0.6887
0.2500 0.7500 0.2054
0.2500 0.9417 0.6887
0.7500 0.0583 0.3113
0.7500 0.2500 0.7946
0.7500 0.4417 0.3113
0.2500 0.2500 0.5198
0.7500 0.7500 0.4802
```

Output
energy relative to the lowest polymorph listed for this composition: 76.0 kJ/mol of formula units
ΔE_f: 0.20 eV per atom



## RbAlInS2 (PBE)

Data for a relaxed structure of RbAlInS2.

Geometry as POSCAR:
```
RbAlInS2
1.0
5.8851 0.0000 0.0000
0.0000 5.8851 0.0000
0.0000 0.0000 5.7374
Rb Al In S
1 1 1 2
Direct
0.0000 0.0000 0.0000
0.0000 0.0000 0.5000
0.5000 0.5000 0.5000
0.0000 0.5000 0.0000
0.5000 0.0000 0.0000
```

Output
E_form (uncorrected): 0.86 eV/atom



## Ce3BeB2Rh9 (PBE)

Data for a relaxed structure of Ce3BeB2Rh9.

Geometry as POSCAR:
```
Ce3BeB2Rh9
1.0
6.0000 0.0000 0.0000
-3.0000 5.1962 0.0000
0.0000 0.0000 7.3813
Ce Be B Rh
3 1 2 9
Direct
0.0000 0.0000 0.0000
0.3333 0.6667 0.6619
0.6667 0.3333 0.3381
0.0000 0.0000 0.5000
0.3333 0.6667 0.1638
0.6667 0.3333 0.8362
0.0000 0.5000 0.0000
0.1700 0.3400 0.3272
0.1700 0.8300 0.3272
0.3400 0.1700 0.6728
0.5000 0.0000 0.0000
0.5000 0.5000 0.0000
0.6600 0.8300 0.3272
0.8300 0.1700 0.6728
0.8300 0.6600 0.6728
```

Output
ΔE_f: -0.74 eV per atom



## BiPt2S3 (PBE)

Data for a relaxed structure of BiPt2S3.

Geometry as POSCAR:
```
BiPt2S3
1.0
3.6236 2.0921 5.7575
-3.6236 2.0921 5.7575
0.0000 -4.1842 5.7575
Bi Pt S
2 4 6
Direct
0.2171 0.2171 0.2171
0.7829 0.7829 0.7829
0.0000 0.0000 0.0000
0.0000 0.5000 0.5000
0.5000 0.0000 0.5000
0.5000 0.5000 0.0000
0.2365 0.2365 0.7310
0.2365 0.7310 0.2365
0.2690 0.7635 0.7635
0.7310 0.2365 0.2365
0.7635 0.2690 0.7635
0.7635 0.7635 0.2690
```

Output
E_form (uncorrected): -0.28 eV/atom



## La2ZnAg3Sn4 (PBE)

Data for a relaxed structure of La2ZnAg3Sn4.

Geometry as POSCAR:
```
La2ZnAg3Sn4
1.0
4.5737 0.0000 0.0000
0.0000 4.5737 0.0000
0.0000 0.0000 11.8280
La Zn Ag Sn
2 1 3 4
Direct
0.0000 0.5000 0.2409
0.5000 0.0000 0.7591
0.5000 0.5000 0.0000
0.0000 0.0000 0.0000
0.0000 0.5000 0.6422
0.5000 0.0000 0.3578
0.0000 0.0000 0.5000
0.0000 0.5000 0.8671
0.5000 0.0000 0.1329
0.5000 0.5000 0.5000
```

Output
ΔE_f: -0.42 eV per atom



## NaLiAcAl (PBE)

Data for a relaxed structure of NaLiAcAl.

Geometry as POSCAR:
```
NaLiAcAl
1.0
0.0000 3.8526 3.8526
3.8526 0.0000 3.8526
3.8526 3.8526 0.0000
Na Li Ac Al
1 1 1 1
Direct
0.0000 0.0000 0.0000
0.7500 0.7500 0.7500
0.5000 0.5000 0.5000
0.2500 0.2500 0.2500
```

Output
ΔE_f: 0.04 eV per atom



## Li2ReSn (PBE)

Data for a relaxed structure of Li2ReSn.

Geometry as POSCAR:
```
Li2ReSn
1.0
-3.5712 3.5712 2.6354
3.5712 -3.5712 2.6354
3.5712 3.5712 -2.6354
Li Re Sn
4 2 2
Direct
0.1216 0.6250 0.9966
0.3750 0.3716 0.4966
0.6284 0.1250 0.0034
0.8750 0.8784 0.5034
0.0000 0.0000 0.0000
0.7500 0.2500 0.5000
0.2500 0.7500 0.5000
0.5000 0.5000 0.0000
```

Output
ΔE_f: 0.63 eV per atom